No. 1
VASP calculation (SCAN) on Tl2Se at its PBEsol-relaxed geometry.

- energy above the most stable polymorph in this dataset (meV per atom) = 60.0
- ΔE_f (raw) (kJ/mol of atoms) = -32
- crystal system = monoclinic
- calculated volume (Å³ per atom) = 28.1
- calculated density (g/cm3) = 9.6

a b c (Å): 12.621 3.754 7.463
angles (deg): 90.00 107.25 90.00
Space group C2/m (No. 12)
Symmetry-distinct sites (fractional):
Tl (0.140, 0.000, 0.064) x4
Tl (0.140, 0.000, 0.577) x4
Se (0.012, 0.500, 0.256) x4

No. 2
VASP calculation (SCAN) on Cu2SiF2 at its PBEsol-relaxed geometry.

- ΔE_f (raw) (kJ/mol of atoms) = -49
- crystal system = tetragonal
- calculated volume (Å³ per atom) = 12.2
- calculated density (g/cm3) = 5.3

a b c (Å): 4.658 4.658 5.629
angles (deg): 90.00 90.00 90.00
Space group I4/mmm (No. 139)
Symmetry-distinct sites (fractional):
Cu (0.000, 0.500, 0.250) x4
Si (0.000, 0.000, 0.000) x2
F (0.000, 0.000, 0.308) x4

No. 3
VASP calculation (SCAN) on TeOsRu2 at its PBEsol-relaxed geometry.

- ΔE_f (raw) (kJ/mol of atoms) = 60
- crystal system = orthorhombic
- calculated volume (Å³ per atom) = 15.4
- calculated density (g/cm3) = 14.1

a b c (Å): 3.001 4.450 9.201
angles (deg): 90.00 90.00 90.00
Space group Imm2 (No. 44)
Symmetry-distinct sites (fractional):
Te (0.000, 0.000, 0.000) x2
Os (0.000, 0.500, 0.729) x2
Ru (0.000, 0.000, 0.495) x2
Ru (0.000, 0.500, 0.276) x2

No. 4
VASP calculation (SCAN) on LiYCl2 at its PBEsol-relaxed geometry.

- energy above the most stable polymorph in this dataset (meV per atom) = 0.0
- ΔE_f (raw) (kJ/mol of atoms) = -165
- crystal system = trigonal
- calculated volume (Å³ per atom) = 18.5
- calculated density (g/cm3) = 3.7

a b c (Å): 3.4517 3.4517 21.5695
angles (deg): 90.00 90.00 120.00
Space group R-3m (No. 166, hexagonal axes)
Symmetry-distinct sites (fractional):
Li (0.0000, 0.0000, 0.0000) x3
Y (0.0000, 0.0000, 0.5000) x3
Cl (0.0000, 0.0000, 0.2643) x6